(1)
VASP calculation (PBE) on a relaxed structure of Mg2SnHg6.

## Properties
**DOS(E_F)**: 0.49 states/eV/atom
**Calculated density**: 9.41 Mg/m³
**M_tot**: 0.0 Bohr magnetons per cell
**Space group**: I4/mmm, No. 139
**Crystal system**: tetragonal

Cell lengths 11.5866, 11.5866, 11.5866 Å; angles 156.77, 156.77, 33.09 degrees
Element x y z (fractional)
Mg (0.1693, 0.1693, 0.0000)
Mg (0.8307, 0.8307, 0.0000)
Sn (0.5000, 0.5000, 0.0000)
Hg (0.0899, 0.5899, 0.5000)
Hg (0.2500, 0.7500, 0.5000)
Hg (0.4101, 0.9101, 0.5000)
Hg (0.5899, 0.0899, 0.5000)
Hg (0.7500, 0.2500, 0.5000)
Hg (0.9101, 0.4101, 0.5000)

=====

(2)
VASP calculation (PBE) on a relaxed structure of Mg2SnHg6.

## Properties
**DOS(E_F)**: 0.22 states/eV/atom
**Calculated density**: 10.41 Mg/m³
**M_tot**: 0.0 Bohr magnetons per cell
**Space group**: C2/c, No. 15
**Crystal system**: monoclinic

Cell lengths 8.5678, 8.5678, 6.1937 Å; angles 90.96, 90.96, 74.21 degrees
Element x y z (fractional)
Mg (0.0381, 0.2916, 0.4064)
Mg (0.2916, 0.0381, 0.9064)
Mg (0.7084, 0.9619, 0.0936)
Mg (0.9619, 0.7084, 0.5936)
Sn (0.3798, 0.6202, 0.7500)
Sn (0.6202, 0.3798, 0.2500)
Hg (0.0693, 0.8189, 0.0125)
Hg (0.1460, 0.3965, 0.8386)
Hg (0.1811, 0.9307, 0.4875)
Hg (0.2399, 0.5220, 0.3103)
Hg (0.3965, 0.1460, 0.3386)
Hg (0.4780, 0.7601, 0.1897)
Hg (0.5220, 0.2399, 0.8103)
Hg (0.6035, 0.8540, 0.6614)
Hg (0.7601, 0.4780, 0.6897)
Hg (0.8189, 0.0693, 0.5125)
Hg (0.8540, 0.6035, 0.1614)
Hg (0.9307, 0.1811, 0.9875)

=====

Bottom line: (2), by a margin of 44 meV per atom.